In2SiRhS | GGA-PBE | optimized geometry

```
In2SiRhS
1.0
-3.8506 2.4411 -2.5043
-1.9182 -3.8429 -0.7966
-2.6483 0.3974 4.4594
Si S Rh In
1 1 1 2
Cartesian
0.0000 0.0000 0.0000
-0.9591 -1.9215 -0.3983
-4.2085 -0.5022 0.5792
-1.9253 1.2206 -1.2522
-1.3242 0.1987 2.2297
```

- E_form (uncorrected): 71.71 kJ/mol of atoms
- Final energy: -3.733 eV per atom
- D(E_F): 5.06 states/eV per cell
- SG: P4/mmm (123)